Record 1
First-principles (PBE) data for an optimized crystal structure of PmSm6DyEr2, as listed in Alexandria.

The structure belongs to space group C2/c (No. 15); the cell edges are 9.2354, 15.1657 and 9.5897 Å and the angles 90.00°, 96.90° and 90.00°. The distinct sites, in fractional coordinates, are Pm at (0.0000, 0.0289, 0.2500), Sm at (0.0627, 0.1793, 0.9447), Sm at (0.0969, 0.3899, 0.1181), Sm at (0.2134, 0.2249, 0.3159), Dy at (0.0000, 0.4102, 0.7500) and Er at (0.2487, 0.4502, 0.4524).

As for the density of states at the Fermi level: 1.44 states/eV per atom. The value obtained for the formation energy is 0.118 eV per atom. For the total energy, the calculation gives -4.561 eV/atom.


Record 2
First-principles (PBE) data for an optimized crystal structure of Pr7Nd3Sm, as listed in Alexandria.

The structure belongs to space group C2/m (No. 12); the cell edges are 13.0380, 11.5379 and 6.0562 Å and the angles 90.00°, 117.56° and 90.00°. The distinct sites, in fractional coordinates, are Pr at (0.0000, 0.0000, 0.0000), Pr at (0.1989, 0.2960, 0.6990), Pr at (0.2087, 0.5000, 0.2080), Nd at (0.0000, 0.2922, 0.0000), Nd at (0.0000, 0.5000, 0.5000) and Sm at (0.0000, 0.0000, 0.5000).

As for the density of states at the Fermi level: 1.49 states/eV per atom. The value obtained for the formation energy is 0.210 eV per atom. For the total energy, the calculation gives -4.561 eV/atom.


Record 3
First-principles (PBE) data for an optimized crystal structure of LaPmNd3Y, as listed in Alexandria.

The structure belongs to space group P2_1/m (No. 11); the cell edges are 8.1855, 5.2108 and 10.3781 Å and the angles 90.00°, 108.47° and 90.00°. The distinct sites, in fractional coordinates, are La at (0.1676, 0.2500, 0.2913), Pm at (0.4998, 0.2500, 0.6265), Nd at (0.1685, 0.2500, 0.7923), Nd at (0.1691, 0.7500, 0.0411), Nd at (0.1687, 0.7500, 0.5433) and Y at (0.4978, 0.7500, 0.8765).

As for the density of states at the Fermi level: 1.61 states/eV per atom. The value obtained for the formation energy is 0.017 eV per atom. For the total energy, the calculation gives -5.057 eV/atom.


Record 4
First-principles (PBE) data for an optimized crystal structure of ZnSbTe2Rh, as listed in Alexandria.

The structure belongs to space group P4/mmm (No. 123); the cell edges are 5.1985, 5.1985 and 5.0250 Å and the angles 90.00°, 90.00° and 90.00°. The distinct sites, in fractional coordinates, are Zn at (0.0000, 0.0000, 0.0000), Sb at (0.0000, 0.0000, 0.5000), Te at (0.0000, 0.5000, 0.0000) and Rh at (0.5000, 0.5000, 0.5000).

As for the density of states at the Fermi level: 0.88 states/eV per atom. For the total energy, the calculation gives -2.895 eV/atom. The energy relative to the elements, uncorrected is 0.91 eV per atom.


Record 5
First-principles (PBE) data for an optimized crystal structure of SrCa2Zn, as listed in Alexandria.

The structure belongs to space group F-43m (No. 216); the cell edges are 8.1868, 8.1868 and 8.1868 Å and the angles 90.00°, 90.00° and 90.00°. The distinct sites, in fractional coordinates, are Sr at (0.0000, 0.0000, 0.0000), Ca at (0.0000, 0.0000, 0.5000), Ca at (0.2500, 0.2500, 0.7500) and Zn at (0.2500, 0.2500, 0.2500).

As for the density of states at the Fermi level: 1.19 states/eV per atom. The value obtained for the formation energy is 0.065 eV per atom. For the total energy, the calculation gives -1.675 eV/atom.


Record 6
First-principles (PBE) data for an optimized crystal structure of Mg2ZrW, as listed in Alexandria.

The structure belongs to space group I-4m2 (No. 119); the cell edges are 4.2328, 4.2328 and 8.6466 Å and the angles 90.00°, 90.00° and 90.00°. The distinct sites, in fractional coordinates, are Mg at (0.0000, 0.0000, 0.0000), Mg at (0.0000, 0.5000, 0.2500), Zr at (0.0000, 0.0000, 0.5000) and W at (0.0000, 0.5000, 0.7500).

As for the density of states at the Fermi level: 0.96 states/eV per atom. The value obtained for the formation energy is 0.404 eV per atom. For the total energy, the calculation gives -5.769 eV/atom.


Record 7
First-principles (PBE) data for an optimized crystal structure of FeTc2Sn, as listed in Alexandria.

The structure belongs to space group I-42d (No. 122); the cell edges are 7.2239, 7.2239 and 5.1441 Å and the angles 90.00°, 90.00° and 90.00°. The distinct sites, in fractional coordinates, are Fe at (0.0000, 0.0000, 0.0000), Tc at (0.1854, 0.7500, 0.1250) and Sn at (0.0000, 0.0000, 0.5000).

As for the density of states at the Fermi level: 1.12 states/eV per atom. The value obtained for the formation energy is 0.611 eV per atom. For the total energy, the calculation gives -7.688 eV/atom.


Record 8
First-principles (PBE) data for an optimized crystal structure of Cs2PrAl2Sb4, as listed in Alexandria.

The structure belongs to space group C2/m (No. 12); the cell edges are 16.9170, 4.4428 and 9.2600 Å and the angles 90.00°, 107.10° and 90.00°. The distinct sites, in fractional coordinates, are Cs at (0.1340, 0.0000, 0.0493), Pr at (0.0000, 0.0000, 0.5000), Al at (0.1686, 0.5000, 0.4721), Sb at (0.0184, 0.5000, 0.2644) and Sb at (0.2025, 0.0000, 0.6616).

As for the density of states at the Fermi level: 0.44 states/eV per atom. For the total energy, the calculation gives -3.890 eV/atom. The energy relative to the elements, uncorrected is -0.51 eV per atom.


Record 9
First-principles (PBE) data for an optimized crystal structure of LiCa5Tl, as listed in Alexandria.

The structure belongs to space group C2/c (No. 15); the cell edges are 10.0200, 9.4461 and 10.8294 Å and the angles 90.00°, 92.46° and 90.00°. The distinct sites, in fractional coordinates, are Li at (0.0000, 0.0000, 0.0000), Ca at (0.0000, 0.1540, 0.2500), Ca at (0.1629, 0.4177, 0.0038), Ca at (0.1652, 0.2190, 0.6740) and Tl at (0.0000, 0.4908, 0.2500).

As for the density of states at the Fermi level: 1.19 states/eV per atom. The value obtained for the formation energy is -0.040 eV per atom. For the total energy, the calculation gives -2.081 eV/atom.


Record 10
First-principles (PBE) data for an optimized crystal structure of Pa2TeAu, as listed in Alexandria.

The structure belongs to space group R-3m (No. 166, hexagonal axes); the cell edges are 4.3096, 4.3096 and 20.8166 Å and the angles 90.00°, 90.00° and 120.00°. The distinct sites, in fractional coordinates, are Pa at (0.0000, 0.0000, 0.2401), Te at (0.0000, 0.0000, 0.0000) and Au at (0.0000, 0.0000, 0.5000).

As for the density of states at the Fermi level: 2.30 states/eV per atom. For the total energy, the calculation gives -6.692 eV/atom. The energy relative to the elements, uncorrected is -0.34 eV per atom.


Record 11
First-principles (PBE) data for an optimized crystal structure of YWN3, as listed in Alexandria.

The structure belongs to space group Imm2 (No. 44); the cell edges are 2.9876, 5.9031 and 9.8694 Å and the angles 90.00°, 90.00° and 90.00°. The distinct sites, in fractional coordinates, are Y at (0.0000, 0.0000, 0.0000), W at (0.0000, 0.5000, 0.8633), N at (0.0000, 0.2254, 0.4142) and N at (0.0000, 0.5000, 0.6834).

As for the density of states at the Fermi level: 0.10 states/eV per atom. For the total energy, the calculation gives -9.650 eV/atom. The energy relative to the elements, uncorrected is -0.77 eV per atom.


Record 12
First-principles (PBE) data for an optimized crystal structure of CeHoSbP, as listed in Alexandria.

The structure belongs to space group R3m (No. 160, hexagonal axes); the cell edges are 4.2011, 4.2011 and 21.0019 Å and the angles 90.00°, 90.00° and 120.00°. The distinct sites, in fractional coordinates, are Ce at (0.0000, 0.0000, 0.0000), Ho at (0.0000, 0.0000, 0.4828), Sb at (0.0000, 0.0000, 0.2396) and P at (0.0000, 0.0000, 0.7434).

As for the density of states at the Fermi level: 1.38 states/eV per atom. For the total energy, the calculation gives -6.298 eV/atom. The energy relative to the elements, uncorrected is -1.29 eV per atom.